Here is Mg4SbPd15 after structural relaxation from Alexandria. Energies are from PBE-GGA.

Cell: 3.998 3.998 19.815 Å, 90.00 90.00 90.00°
Atoms (fractional coordinates):
Mg  0.000  0.000  0.099
Mg  0.000  0.000  0.297
Mg  0.000  0.000  0.703
Mg  0.000  0.000  0.901
Sb  0.000  0.000  0.500
Pd  0.000  0.500  0.000
Pd  0.000  0.500  0.198
Pd  0.000  0.500  0.398
Pd  0.000  0.500  0.602
Pd  0.000  0.500  0.802
Pd  0.500  0.000  0.000
Pd  0.500  0.000  0.198
Pd  0.500  0.000  0.398
Pd  0.500  0.000  0.602
Pd  0.500  0.000  0.802
Pd  0.500  0.500  0.099
Pd  0.500  0.500  0.298
Pd  0.500  0.500  0.500
Pd  0.500  0.500  0.702
Pd  0.500  0.500  0.901

Results
**ρ**: 9.5 g/cm3
**Total DFT energy (no corrections)**: -4.8840 eV/atom
**Space-group type**: P4/mmm